Entry from Alexandria: a geometry-optimized AcLuAlTl structure (PBE).

Cell and atoms, written as CIF:
```
data_AcLuAlTl
_chemical_formula_sum 'Ac4 Lu4 Al4 Tl4'
_cell_length_a 7.725
_cell_length_b 7.725
_cell_length_c 7.725
_cell_angle_alpha 90.00
_cell_angle_beta 90.00
_cell_angle_gamma 90.00
_symmetry_space_group_name_H-M 'F -4 3 m'
_symmetry_Int_Tables_number 216
_symmetry_space_group_name_Hall 'F -4 2 3'
loop_
_atom_site_label
_atom_site_type_symbol
_atom_site_fract_x
_atom_site_fract_y
_atom_site_fract_z
Ac1 Ac 0.000 0.000 0.000
Lu1 Lu 0.000 0.000 0.500
Al1 Al 0.250 0.250 0.750
Tl1 Tl 0.250 0.250 0.250
```

Properties
Size of the total moment   0.000 μB per atom
N(E_F)   0.40 states/eV/atom
ΔH_f (0 K)   -0.23 eV per atom

Entry from Alexandria: a geometry-optimized Dy3ErPu2S6 structure (PBE).

Cell and atoms, written as CIF:
```
data_Dy3ErPu2S6
_chemical_formula_sum 'Dy6 Er2 Pu4 S12'
_cell_length_a 6.766
_cell_length_b 11.724
_cell_length_c 6.801
_cell_angle_alpha 90.00
_cell_angle_beta 109.34
_cell_angle_gamma 90.00
_symmetry_space_group_name_H-M 'C 1 2/m 1'
_symmetry_Int_Tables_number 12
_symmetry_space_group_name_Hall '-C 2y'
loop_
_atom_site_label
_atom_site_type_symbol
_atom_site_fract_x
_atom_site_fract_y
_atom_site_fract_z
Dy1 Dy 0.000 0.000 0.000
Dy2 Dy 0.000 0.332 0.000
Er1 Er 0.000 0.500 0.500
Pu1 Pu 0.000 0.166 0.500
S1 S 0.246 0.500 0.247
S2 S 0.249 0.335 0.751
```

Properties
Size of the total moment   0.956 μB per atom
N(E_F)   1.31 states/eV/atom
E_form (uncorrected)   -1.94 eV/atom

Q: Which formula does entry 2 have?
A: Dy3ErPu2S6

Q: Which of these has the highest size of the total moment?
A: Dy3ErPu2S6

Q: What is the N(E_F) in the second record?
A: 1.31 states/eV/atom

Q: Which of these has the highest N(E_F)?
A: Dy3ErPu2S6